Entry 1:
Computed, not measured: YZr2Sn after structural relaxation at the PBE-GGA level of DFT.

Values from the calculation:
- Volume: 25.7 Å³ per atom
- Final energy: -7.38 eV/atom
- Energy relative to the elements: -0.4843 eV per atom

a = 4.3875 Å, b = 4.3861 Å, c = 10.9070 Å
α = 90.00°, β = 101.57°, γ = 90.00°
Space group P2_1/m (No. 11)
Symmetry-distinct sites (fractional):
1 Y 0.1904 0.2500 0.3815
2 Zr 0.0541 0.7500 0.1086
3 Zr 0.4472 0.7500 0.8940
4 Sn 0.3402 0.2500 0.6792

Entry 2:
Computed, not measured: SrSc2Cd after structural relaxation at the PBE-GGA level of DFT.

Values from the calculation:
- Volume: 29.4 Å³ per atom
- Final energy: -3.54 eV/atom
- Distance to the lowest polymorph of the same formula: 28.9 kJ/mol of atoms
- Energy relative to the elements: 0.2743 eV per atom

a = 3.4674 Å, b = 3.4674 Å, c = 33.9106 Å
α = 90.00°, β = 90.00°, γ = 120.00°
Space group R-3m (No. 166, hexagonal axes)
Symmetry-distinct sites (fractional):
1 Sr 0.0000 0.0000 0.0000
2 Sc 0.0000 0.0000 0.0989
3 Cd 0.0000 0.0000 0.5000

Entry 3:
Computed, not measured: Cs3PmSb2O9 after structural relaxation at the PBE-GGA level of DFT.

Values from the calculation:
- Volume: 16.4 Å³ per atom
- E_form (uncorrected): -1546 meV per atom
- Final energy: -5.56 eV/atom

a = 6.1287 Å, b = 6.1287 Å, c = 7.5460 Å
α = 90.00°, β = 90.00°, γ = 120.00°
Space group P-3m1 (No. 164)
Symmetry-distinct sites (fractional):
1 Cs 0.0000 0.0000 0.0000
2 Cs 0.3333 0.6667 0.6632
3 Pm 0.0000 0.0000 0.5000
4 Sb 0.3333 0.6667 0.1583
5 O 0.0000 0.5000 0.0000
6 O 0.1795 0.3589 0.3099

Entry 4:
Computed, not measured: Al2AsO6 after structural relaxation at the PBE-GGA level of DFT.

Values from the calculation:
- Volume: 10.9 Å³ per atom
- E_form (uncorrected): -1835 meV per atom
- Final energy: -6.49 eV/atom
- Distance to the lowest polymorph of the same formula: 21.8 kJ/mol of atoms

a = 9.4622 Å, b = 3.1598 Å, c = 6.8219 Å
α = 90.00°, β = 105.33°, γ = 90.00°
Space group C2/m (No. 12)
Symmetry-distinct sites (fractional):
1 Al 0.2125 0.0000 0.1702
2 As 0.0000 0.0000 0.5000
3 O 0.0542 0.0000 0.2767
4 O 0.1301 0.5000 0.6051
5 O 0.1727 0.5000 0.0566

Entry 5:
Computed, not measured: CrNi4Ir after structural relaxation at the PBE-GGA level of DFT.

Values from the calculation:
- Volume: 11.6 Å³ per atom
- Final energy: -6.92 eV/atom
- Distance to the lowest polymorph of the same formula: 0.0 kJ/mol of atoms
- Energy relative to the elements: 0.0183 eV per atom

a = 4.9197 Å, b = 14.0266 Å, c = 4.0348 Å
α = 90.00°, β = 90.00°, γ = 90.00°
Space group Cmcm (No. 63)
Symmetry-distinct sites (fractional):
1 Cr 0.0000 0.1245 0.2500
2 Ni 0.2476 0.0416 0.7500
3 Ni 0.2496 0.2082 0.7500
4 Ir 0.0000 0.3752 0.7500

Entry 6:
Computed, not measured: Cs2PrPaSe4 after structural relaxation at the PBE-GGA level of DFT.

Values from the calculation:
- Volume: 34.4 Å³ per atom
- E_form (uncorrected): -1493 meV per atom
- Final energy: -5.23 eV/atom

a = 7.5225 Å, b = 4.3221 Å, c = 8.8185 Å
α = 90.00°, β = 106.33°, γ = 90.00°
Space group P2/m (No. 10)
Symmetry-distinct sites (fractional):
1 Cs 0.0000 0.0000 0.0000
2 Cs 0.5000 0.5000 0.0000
3 Pr 0.0000 0.5000 0.5000
4 Pa 0.5000 0.0000 0.5000
5 Se 0.2422 0.0000 0.6926
6 Se 0.2797 0.5000 0.3101